A plane-wave DFT calculation with meta-GGA SCAN was carried out for a crystal of CaScRe2 relaxed with PBEsol.

It has space group Cmmm (No. 65), with a = 3.2504 Å, b = 4.4919 Å, c = 9.4860 Å, α = 90.00°, β = 90.00° and γ = 90.00°. The asymmetric unit holds Ca at (0.0000, 0.0000, 0.0000), Sc at (0.0000, 0.0000, 0.5000) and Re at (0.0000, 0.5000, 0.2638).

As for the total energy: -328.76 eV for the cell shown. The calculation puts the density of states at the Fermi level at 3.77 states/eV/f.u. The crystal system is orthorhombic. As for the total magnetic moment: 0.00 μB per formula unit. As for the formation energy: 429 meV per atom. As for the energy above the lowest structure with this stoichiometry: 0.0 meV per atom. The value obtained for the volume is 139 Å³/cell.

A plane-wave DFT calculation with meta-GGA SCAN was carried out for a crystal of NdSb12Ru4 relaxed with PBEsol.

It has space group Im-3 (No. 204), with a = 9.2582 Å, b = 9.2582 Å, c = 9.2582 Å, α = 90.00°, β = 90.00° and γ = 90.00°. The asymmetric unit holds Nd at (0.0000, 0.0000, 0.0000), Sb at (0.0000, 0.3401, 0.1584) and Ru at (0.2500, 0.2500, 0.2500).

As for the total energy: -1274.05 eV for the cell shown. The calculation puts the density of states at the Fermi level at 9.78 states/eV/f.u. The crystal system is cubic. As for the total magnetic moment: 0.00 μB per formula unit. As for the formation energy from raw total energies: -0.41 eV/atom. The value obtained for the volume is 794 Å³/cell.